A geometry-optimized YMgZn structure. Source: OQMD via LeMat-Bulk, functional PBE-GGA.

The total energy is -3.326 eV per atom.

Cell lengths 4.9412, 4.9412, 6.3140 Å; angles 90.00, 90.00, 120.00 degrees
Space group P3m1 (No. 156)
Asymmetric unit:
Y (0.0000, 0.0000, 0.0000) x1
Y (0.3333, 0.6667, 0.3514) x1
Mg (0.0000, 0.0000, 0.5158) x1
Mg (0.6667, 0.3333, 0.6984) x1
Zn (0.3333, 0.6667, 0.8280) x1
Zn (0.6667, 0.3333, 0.2065) x1